A geometry-optimized Ce2MgCd structure, computed with GGA-PBE.

Calculated values
* spin magnetization: 0.00 μB/cell
* calculated total energy: -3.464 eV/atom
* energy of formation: 3.0 kcal/mol of atoms
* volume: 25.48 A^3/atom
* mass density: 6.79 Mg/m³
* SG: R-3m (166)
* D(E_F): 5.667 states/eV/f.u.

Geometry as POSCAR:
```
Ce2MgCd
1.0
-0.470 2.995 -0.348
0.000 1.231 -2.793
-12.589 -0.649 -1.955
Ce Cd Mg
2 1 1
Direct
0.911 0.911 0.266 Ce
0.089 0.089 0.734 Ce
0.000 0.000 0.000 Cd
0.500 0.500 0.500 Mg
```


A geometry-optimized CeMg4Cd2 structure, computed with GGA-PBE.

Calculated values
* spin magnetization: 1.14 μB/cell
* calculated total energy: -2.131 eV/atom
* energy of formation: -2.6 kcal/mol of atoms
* volume: 23.71 A^3/atom
* mass density: 4.62 Mg/m³
* SG: Cmmm (65)
* D(E_F): 8.030 states/eV/f.u.

Geometry as POSCAR:
```
CeMg4Cd2
1.0
3.364 0.000 0.000
0.000 5.107 0.000
0.000 -2.553 9.660
Mg Cd Ce
4 2 1
Direct
0.000 0.703 0.406 Mg
0.500 0.159 0.319 Mg
0.000 0.297 0.594 Mg
0.500 0.841 0.681 Mg
0.500 0.424 0.848 Cd
0.500 0.576 0.152 Cd
0.000 0.000 0.000 Ce
```


A geometry-optimized Ce2Mg2Cd structure, computed with GGA-PBE.

Calculated values
* spin magnetization: 1.60 μB/cell
* calculated total energy: -3.274 eV/atom
* energy of formation: -1.8 kcal/mol of atoms
* volume: 25.18 A^3/atom
* mass density: 5.82 Mg/m³
* SG: Cmmm (65)
* D(E_F): 9.571 states/eV/f.u.
* E above lowest polymorph: 0.0000 eV per atom

Geometry as POSCAR:
```
Ce2Mg2Cd
1.0
-2.366 1.974 -0.716
-2.652 -1.642 4.237
4.592 6.241 2.025
Ce Mg Cd
2 2 1
Direct
0.500 0.591 0.181 Ce
0.500 0.409 0.819 Ce
0.000 0.799 0.598 Mg
0.000 0.201 0.402 Mg
0.000 0.000 0.000 Cd
```


A geometry-optimized Ce3Mg2Cd9 structure, computed with GGA-PBE.

Calculated values
* spin magnetization: 3.23 μB/cell
* calculated total energy: -2.278 eV/atom
* energy of formation: -4.4 kcal/mol of atoms
* volume: 24.69 A^3/atom
* mass density: 7.11 Mg/m³
* SG: Immm (71)
* D(E_F): 25.909 states/eV/f.u.

Geometry as POSCAR:
```
Ce3Mg2Cd9
1.0
-1.131 -3.821 2.910
4.994 -6.904 -2.941
7.366 -1.602 4.943
Cd Ce Mg
9 3 2
Direct
0.858 0.854 0.429 Cd
0.142 0.146 0.571 Cd
0.142 0.571 0.146 Cd
0.346 0.013 0.295 Cd
0.346 0.295 0.013 Cd
0.000 0.500 0.500 Cd
0.654 0.705 0.987 Cd
0.654 0.987 0.705 Cd
0.858 0.429 0.854 Cd
0.714 0.286 0.286 Ce
0.286 0.714 0.714 Ce
0.000 0.000 0.000 Ce
0.500 0.329 0.671 Mg
0.500 0.671 0.329 Mg
```


A geometry-optimized CeMg14Cd structure, computed with GGA-PBE.

Calculated values
* spin magnetization: 1.19 μB/cell
* calculated total energy: -1.793 eV/atom
* energy of formation: 0.7 kcal/mol of atoms
* volume: 23.77 A^3/atom
* mass density: 2.59 Mg/m³
* SG: P4/mmm (123)
* D(E_F): 12.085 states/eV/f.u.
* E above lowest polymorph: 0.0163 eV per atom

Geometry as POSCAR:
```
CeMg14Cd
1.0
6.750 -0.015 0.000
0.014 6.750 0.000
0.000 0.000 8.348
Mg Ce Cd
14 1 1
Direct
0.132 0.132 0.756 Mg
0.875 0.875 0.000 Mg
0.618 0.618 0.756 Mg
0.132 0.618 0.756 Mg
0.618 0.618 0.244 Mg
0.875 0.375 0.500 Mg
0.875 0.375 0.000 Mg
0.132 0.618 0.244 Mg
0.618 0.132 0.244 Mg
0.132 0.132 0.244 Mg
0.375 0.875 0.000 Mg
0.618 0.132 0.756 Mg
0.375 0.375 0.000 Mg
0.375 0.875 0.500 Mg
0.875 0.875 0.500 Ce
0.375 0.375 0.500 Cd
```


A geometry-optimized CeMg2Cd9 structure, computed with GGA-PBE.

Calculated values
* spin magnetization: 2.61 μB/cell
* calculated total energy: -1.562 eV/atom
* energy of formation: -2.7 kcal/mol of atoms
* volume: 22.88 A^3/atom
* mass density: 7.26 Mg/m³
* SG: I4_1/amd (141)
* D(E_F): 10.703 states/eV/f.u.

Geometry as POSCAR:
```
CeMg2Cd9
1.0
-3.981 1.949 -6.379
-5.080 -6.831 -3.646
-8.515 3.277 1.586
Mg Cd Ce
4 18 2
Direct
0.875 0.250 0.750 Mg
0.875 0.250 0.250 Mg
0.375 0.750 0.750 Mg
0.875 0.750 0.250 Mg
0.322 0.676 0.083 Cd
0.595 0.324 0.083 Cd
0.001 0.676 0.917 Cd
0.428 0.417 0.824 Cd
0.750 0.500 0.500 Cd
0.081 0.324 0.917 Cd
0.322 0.083 0.676 Cd
0.155 0.417 0.176 Cd
0.595 0.083 0.324 Cd
0.428 0.824 0.417 Cd
0.669 0.176 0.583 Cd
0.001 0.917 0.676 Cd
0.155 0.176 0.417 Cd
0.749 0.583 0.824 Cd
0.669 0.583 0.176 Cd
0.000 0.000 0.000 Cd
0.081 0.917 0.324 Cd
0.749 0.824 0.583 Cd
0.500 0.000 0.000 Ce
0.250 0.500 0.500 Ce
```


A geometry-optimized CeMgCd2 structure, computed with GGA-PBE.

Calculated values
* spin magnetization: 0.88 μB/cell
* calculated total energy: -2.573 eV/atom
* energy of formation: -5.4 kcal/mol of atoms
* volume: 24.63 A^3/atom
* mass density: 6.56 Mg/m³
* SG: Fm-3m (225)
* D(E_F): 7.481 states/eV/f.u.

Geometry as POSCAR:
```
CeMgCd2
1.0
5.184 0.000 0.000
2.592 4.489 0.000
2.592 1.496 4.233
Cd Mg Ce
2 1 1
Direct
0.000 0.000 0.000 Cd
0.500 0.500 0.500 Cd
0.250 0.250 0.250 Mg
0.750 0.750 0.750 Ce
```


A geometry-optimized Ce2Mg2Cd15 structure, computed with GGA-PBE.

Calculated values
* spin magnetization: 2.28 μB/cell
* calculated total energy: -1.646 eV/atom
* energy of formation: -3.0 kcal/mol of atoms
* volume: 23.19 A^3/atom
* mass density: 7.59 Mg/m³
* SG: R-3m (166)
* D(E_F): 19.890 states/eV/f.u.

Geometry as POSCAR:
```
Ce2Mg2Cd15
1.0
-2.271 4.136 -6.065
4.955 -2.792 -5.166
-4.606 -5.225 -3.245
Cd Ce Mg
15 2 2
Direct
0.361 0.361 0.843 Cd
0.000 0.500 0.000 Cd
0.704 0.296 0.000 Cd
0.000 0.296 0.704 Cd
0.296 0.704 0.000 Cd
0.639 0.157 0.639 Cd
0.296 0.000 0.704 Cd
0.157 0.639 0.639 Cd
0.843 0.361 0.361 Cd
0.500 0.000 0.000 Cd
0.639 0.639 0.157 Cd
0.000 0.000 0.500 Cd
0.361 0.843 0.361 Cd
0.000 0.704 0.296 Cd
0.704 0.000 0.296 Cd
0.334 0.334 0.334 Ce
0.666 0.666 0.666 Ce
0.898 0.898 0.898 Mg
0.102 0.102 0.102 Mg
```


A geometry-optimized CeMg3Cd2 structure, computed with GGA-PBE.

Calculated values
* spin magnetization: 2.03 μB/cell
* calculated total energy: -2.193 eV/atom
* energy of formation: -2.4 kcal/mol of atoms
* volume: 24.58 A^3/atom
* mass density: 4.93 Mg/m³
* SG: C2/m (12)
* D(E_F): 9.770 states/eV/f.u.
* E above lowest polymorph: 0.0289 eV per atom

Geometry as POSCAR:
```
CeMg3Cd2
1.0
-3.206 3.483 -0.962
-3.460 -4.442 7.575
5.520 5.346 0.960
Cd Mg Ce
4 6 2
Direct
0.766 0.531 0.193 Cd
0.519 0.038 0.203 Cd
0.481 0.962 0.797 Cd
0.234 0.469 0.807 Cd
0.303 0.606 0.534 Mg
0.932 0.863 0.563 Mg
0.697 0.394 0.466 Mg
0.068 0.137 0.437 Mg
0.625 0.251 0.744 Mg
0.375 0.749 0.256 Mg
0.119 0.238 0.052 Ce
0.881 0.762 0.948 Ce
```


A geometry-optimized Ce2Mg15Cd2 structure, computed with GGA-PBE.

Calculated values
* spin magnetization: 2.26 μB/cell
* calculated total energy: -2.018 eV/atom
* energy of formation: -0.9 kcal/mol of atoms
* volume: 24.06 A^3/atom
* mass density: 3.16 Mg/m³
* SG: R-3m (166)
* D(E_F): 22.703 states/eV/f.u.

Geometry as POSCAR:
```
Ce2Mg15Cd2
1.0
-1.019 7.701 0.124
-7.690 0.017 1.105
0.055 0.936 7.712
Mg Cd Ce
15 2 2
Direct
0.000 0.302 0.698 Mg
0.302 0.000 0.698 Mg
0.160 0.649 0.649 Mg
0.698 0.000 0.302 Mg
0.649 0.649 0.160 Mg
0.000 0.500 0.000 Mg
0.351 0.840 0.351 Mg
0.351 0.351 0.840 Mg
0.649 0.160 0.649 Mg
0.698 0.302 0.000 Mg
0.000 0.698 0.302 Mg
0.000 0.000 0.500 Mg
0.500 0.000 0.000 Mg
0.840 0.351 0.351 Mg
0.302 0.698 0.000 Mg
0.100 0.100 0.100 Cd
0.900 0.900 0.900 Cd
0.329 0.329 0.329 Ce
0.671 0.671 0.671 Ce
```


A geometry-optimized CeMg2Cd5 structure, computed with GGA-PBE.

Calculated values
* spin magnetization: 1.27 μB/cell
* calculated total energy: -1.831 eV/atom
* energy of formation: -2.7 kcal/mol of atoms
* volume: 23.73 A^3/atom
* mass density: 6.57 Mg/m³
* SG: I4/mmm (139)
* D(E_F): 11.725 states/eV/f.u.

Geometry as POSCAR:
```
CeMg2Cd5
1.0
-1.527 4.445 -0.472
-1.625 -1.016 -4.317
-5.926 -3.936 5.742
Cd Mg Ce
5 2 1
Direct
0.365 0.865 0.731 Cd
0.500 0.500 0.000 Cd
0.135 0.635 0.269 Cd
0.865 0.365 0.731 Cd
0.635 0.135 0.269 Cd
0.755 0.755 0.511 Mg
0.245 0.245 0.489 Mg
0.000 0.000 0.000 Ce
```


A geometry-optimized Ce3Mg2Cd4 structure, computed with GGA-PBE.

Calculated values
* spin magnetization: 3.90 μB/cell
* calculated total energy: -2.935 eV/atom
* energy of formation: -4.5 kcal/mol of atoms
* volume: 24.84 A^3/atom
* mass density: 6.82 Mg/m³
* SG: C2/m (12)
* D(E_F): 20.361 states/eV/f.u.

Geometry as POSCAR:
```
Ce3Mg2Cd4
1.0
5.178 0.000 0.000
-2.589 4.952 -2.433
0.000 -1.432 9.423
Cd Ce Mg
4 3 2
Direct
0.945 0.890 0.612 Cd
0.055 0.110 0.388 Cd
0.723 0.446 0.059 Cd
0.277 0.554 0.941 Cd
0.668 0.336 0.669 Ce
0.332 0.664 0.331 Ce
0.000 0.000 0.000 Ce
0.612 0.224 0.280 Mg
0.388 0.776 0.720 Mg
```


A geometry-optimized Ce2Mg12Cd5 structure, computed with GGA-PBE.

Calculated values
* spin magnetization: 2.24 μB/cell
* calculated total energy: -1.966 eV/atom
* energy of formation: -2.2 kcal/mol of atoms
* volume: 23.51 A^3/atom
* mass density: 4.22 Mg/m³
* SG: R-3m (166)
* D(E_F): 21.122 states/eV/f.u.

Geometry as POSCAR:
```
Ce2Mg12Cd5
1.0
0.091 4.097 6.526
-6.754 -2.423 2.811
2.749 -5.520 4.622
Mg Ce Cd
12 2 5
Direct
0.000 0.303 0.697 Mg
0.303 0.697 0.000 Mg
0.159 0.651 0.651 Mg
0.841 0.349 0.349 Mg
0.697 0.000 0.303 Mg
0.349 0.841 0.349 Mg
0.000 0.697 0.303 Mg
0.651 0.159 0.651 Mg
0.651 0.651 0.159 Mg
0.349 0.349 0.841 Mg
0.697 0.303 0.000 Mg
0.303 0.000 0.697 Mg
0.670 0.670 0.670 Ce
0.330 0.330 0.330 Ce
0.500 0.000 0.000 Cd
0.000 0.500 0.000 Cd
0.902 0.902 0.902 Cd
0.000 0.000 0.500 Cd
0.098 0.098 0.098 Cd
```


A geometry-optimized CeMg9Cd3 structure, computed with GGA-PBE.

Calculated values
* spin magnetization: 1.06 μB/cell
* calculated total energy: -1.866 eV/atom
* energy of formation: -2.2 kcal/mol of atoms
* volume: 23.12 A^3/atom
* mass density: 3.84 Mg/m³
* SG: C2/m (12)
* D(E_F): 12.021 states/eV/f.u.

Geometry as POSCAR:
```
CeMg9Cd3
1.0
-3.020 3.968 3.164
-5.537 -3.285 4.246
3.088 1.192 6.964
Mg Cd Ce
9 3 1
Direct
0.650 0.348 0.352 Mg
0.497 0.788 0.214 Mg
0.712 0.788 0.786 Mg
0.000 0.500 0.000 Mg
0.503 0.212 0.786 Mg
0.288 0.212 0.214 Mg
0.350 0.652 0.648 Mg
0.002 0.348 0.648 Mg
0.998 0.652 0.352 Mg
0.500 0.000 0.500 Cd
0.000 0.000 0.500 Cd
0.500 0.500 0.000 Cd
0.000 0.000 0.000 Ce
```


A geometry-optimized CeMg4Cd15 structure, computed with GGA-PBE.

Calculated values
* spin magnetization: 1.09 μB/cell
* calculated total energy: -1.389 eV/atom
* energy of formation: -2.0 kcal/mol of atoms
* volume: 22.66 A^3/atom
* mass density: 7.05 Mg/m³
* SG: P4/mmm (123)
* D(E_F): 12.345 states/eV/f.u.

Geometry as POSCAR:
```
CeMg4Cd15
1.0
-0.345 2.953 -3.521
1.060 -3.384 -2.942
-20.706 -4.769 -1.973
Cd Mg Ce
15 4 1
Direct
0.000 0.500 0.500 Cd
0.500 0.000 0.500 Cd
0.500 0.000 0.696 Cd
0.000 0.500 0.696 Cd
0.500 0.500 0.208 Cd
0.500 0.500 0.792 Cd
0.000 0.500 0.891 Cd
0.000 0.500 0.109 Cd
0.500 0.500 0.600 Cd
0.500 0.000 0.891 Cd
0.500 0.000 0.109 Cd
0.000 0.500 0.304 Cd
0.500 0.500 0.400 Cd
0.500 0.000 0.304 Cd
0.500 0.500 0.000 Cd
0.000 0.000 0.403 Mg
0.000 0.000 0.597 Mg
0.000 0.000 0.795 Mg
0.000 0.000 0.205 Mg
0.000 0.000 0.000 Ce
```


A geometry-optimized Ce3MgCd structure, computed with GGA-PBE.

Calculated values
* spin magnetization: 0.01 μB/cell
* calculated total energy: -4.116 eV/atom
* energy of formation: -1.2 kcal/mol of atoms
* volume: 24.85 A^3/atom
* mass density: 7.45 Mg/m³
* SG: P2_1/m (11)
* D(E_F): 8.861 states/eV/f.u.

Geometry as POSCAR:
```
Ce3MgCd
1.0
3.208 0.000 0.000
0.000 8.120 0.583
0.000 0.716 9.590
Mg Ce Cd
2 6 2
Direct
0.750 0.465 0.144 Mg
0.250 0.535 0.856 Mg
0.750 0.651 0.542 Ce
0.750 0.066 0.334 Ce
0.750 0.873 0.934 Ce
0.250 0.349 0.458 Ce
0.250 0.934 0.666 Ce
0.250 0.127 0.066 Ce
0.250 0.737 0.237 Cd
0.750 0.263 0.763 Cd
```


A geometry-optimized CeMg6Cd6 structure, computed with GGA-PBE.

Calculated values
* spin magnetization: 1.05 μB/cell
* calculated total energy: -1.742 eV/atom
* energy of formation: -2.9 kcal/mol of atoms
* volume: 22.78 A^3/atom
* mass density: 5.38 Mg/m³
* SG: Immm (71)
* D(E_F): 11.124 states/eV/f.u.

Geometry as POSCAR:
```
CeMg6Cd6
1.0
-4.614 1.461 3.356
-4.698 -5.935 1.293
1.374 -0.993 7.489
Mg Cd Ce
6 6 1
Direct
0.000 0.351 0.649 Mg
0.290 0.210 0.210 Mg
0.710 0.790 0.790 Mg
0.000 0.649 0.351 Mg
0.350 0.650 0.650 Mg
0.650 0.350 0.350 Mg
0.000 0.500 0.000 Cd
0.500 0.500 0.000 Cd
0.500 0.000 0.500 Cd
0.000 0.000 0.500 Cd
0.500 0.788 0.212 Cd
0.500 0.212 0.788 Cd
0.000 0.000 0.000 Ce
```


A geometry-optimized Ce2MgCd6 structure, computed with GGA-PBE.

Calculated values
* spin magnetization: 2.65 μB/cell
* calculated total energy: -2.293 eV/atom
* energy of formation: -4.3 kcal/mol of atoms
* volume: 24.10 A^3/atom
* mass density: 7.50 Mg/m³
* SG: P6/mmm (191)
* D(E_F): 14.868 states/eV/f.u.
* E above lowest polymorph: 0.0000 eV per atom

Geometry as POSCAR:
```
Ce2MgCd6
1.0
-1.701 1.170 -2.367
-7.426 -0.941 4.869
-2.758 6.661 5.270
Mg Cd Ce
1 6 2
Direct
0.000 0.000 0.000 Mg
0.501 0.000 0.326 Cd
0.499 0.674 0.000 Cd
0.501 0.326 0.000 Cd
0.500 0.326 0.674 Cd
0.500 0.674 0.326 Cd
0.499 0.000 0.674 Cd
0.000 0.333 0.333 Ce
0.000 0.667 0.667 Ce
```


A geometry-optimized Ce5Mg3Cd3 structure, computed with GGA-PBE.

Calculated values
* spin magnetization: 6.11 μB/cell
* calculated total energy: -3.211 eV/atom
* energy of formation: 3.9 kcal/mol of atoms
* volume: 26.48 A^3/atom
* mass density: 6.33 Mg/m³
* SG: P-62m (189)
* D(E_F): 29.679 states/eV/f.u.

Geometry as POSCAR:
```
Ce5Mg3Cd3
1.0
3.033 0.000 0.000
0.000 9.119 -5.265
0.000 0.000 10.530
Ce Cd Mg
5 3 3
Direct
0.500 0.333 0.667 Ce
0.500 0.349 0.000 Ce
0.500 0.651 0.651 Ce
0.500 0.667 0.333 Ce
0.500 0.000 0.349 Ce
0.000 0.000 0.616 Cd
0.000 0.616 0.000 Cd
0.000 0.384 0.384 Cd
0.500 0.000 0.843 Mg
0.500 0.157 0.157 Mg
0.500 0.843 0.000 Mg
```


A geometry-optimized CeMg14Cd structure, computed with GGA-PBE.

Calculated values
* spin magnetization: 1.08 μB/cell
* calculated total energy: -1.803 eV/atom
* energy of formation: 0.5 kcal/mol of atoms
* volume: 23.71 A^3/atom
* mass density: 2.59 Mg/m³
* SG: P-6m2 (187)
* D(E_F): 13.546 states/eV/f.u.
* E above lowest polymorph: 0.0057 eV per atom

Geometry as POSCAR:
```
CeMg14Cd
1.0
-1.764 5.363 3.217
-1.213 -0.519 -6.363
-9.208 -4.292 2.106
Mg Ce Cd
14 1 1
Direct
0.667 0.333 0.235 Mg
0.668 0.834 0.256 Mg
0.994 0.497 0.500 Mg
0.166 0.834 0.256 Mg
0.493 0.507 0.000 Mg
0.668 0.834 0.744 Mg
0.015 0.507 0.000 Mg
0.166 0.834 0.744 Mg
0.503 0.006 0.500 Mg
0.503 0.497 0.500 Mg
0.166 0.332 0.256 Mg
0.166 0.332 0.744 Mg
0.667 0.333 0.765 Mg
0.493 0.985 0.000 Mg
0.000 0.000 0.000 Ce
0.000 0.000 0.500 Cd
```